# 1
The following is a PBEsol calculation of crystalline SrSbPtI2 at its relaxed geometry, from the Alexandria database.

For the total energy, the calculation gives -12.8 eV per cell. The size of the total moment comes out at 1.630 μB per formula unit. The calculation puts the density of states at the Fermi level at 1.40 states/eV/atom. The calculation puts the uncorrected formation energy at 0.82 eV/atom.

abc: 5.9527 5.9527 6.4486
angles: 90.00 90.00 90.00
Fractional coordinates of all 5 atoms:
1 Sr 0.0000 0.0000 0.0000
2 Sb 0.0000 0.0000 0.5000
3 Pt 0.5000 0.5000 0.5000
4 I 0.0000 0.5000 0.0000
5 I 0.5000 0.0000 0.0000

---

# 2
The following is a PBEsol calculation of crystalline Ti3TlTe at its relaxed geometry, from the Alexandria database.

For the total energy, the calculation gives -28.0 eV per cell. The size of the total moment comes out at 2.724 μB per formula unit. The calculation puts the density of states at the Fermi level at 1.43 states/eV/atom. The calculation puts the uncorrected formation energy at 0.63 eV/atom.

abc: 4.9510 4.9510 4.9510
angles: 90.00 90.00 90.00
Fractional coordinates of all 5 atoms:
1 Ti 0.0000 0.0000 0.5000
2 Ti 0.0000 0.5000 0.0000
3 Ti 0.5000 0.0000 0.0000
4 Tl 0.5000 0.5000 0.5000
5 Te 0.0000 0.0000 0.0000

---

# 3
The following is a PBEsol calculation of crystalline TaMoC2 at its relaxed geometry, from the Alexandria database.

For the total energy, the calculation gives -42.0 eV per cell. The size of the total moment comes out at 0.000 μB per formula unit. The calculation puts the density of states at the Fermi level at 0.52 states/eV/atom.

abc: 4.2098 4.2098 4.2098
angles: 137.79 106.43 88.66
Fractional coordinates of all 4 atoms:
1 Ta 0.0000 0.0000 0.0000
2 Mo 0.5000 0.5000 0.0000
3 C 0.2579 0.7579 0.5000
4 C 0.7421 0.2421 0.5000

---

# 4
The following is a PBEsol calculation of crystalline SrTl2Os at its relaxed geometry, from the Alexandria database.

For the total energy, the calculation gives -17.4 eV per cell. The size of the total moment comes out at 0.003 μB per formula unit. The calculation puts the density of states at the Fermi level at 1.28 states/eV/atom.

abc: 5.0010 5.0010 5.0010
angles: 60.00 60.00 60.00
Fractional coordinates of all 4 atoms:
1 Sr 0.0000 0.0000 0.0000
2 Tl 0.2500 0.2500 0.2500
3 Tl 0.7500 0.7500 0.7500
4 Os 0.5000 0.5000 0.5000

---

# 5
The following is a PBEsol calculation of crystalline NiOsRh2 at its relaxed geometry, from the Alexandria database.

For the total energy, the calculation gives -33.2 eV per cell. The size of the total moment comes out at 0.384 μB per formula unit. The calculation puts the density of states at the Fermi level at 1.92 states/eV/atom.

abc: 2.6200 2.6200 8.8830
angles: 90.00 90.00 118.90
Fractional coordinates of all 4 atoms:
1 Ni 0.0000 0.0000 0.0000
2 Os 0.0000 0.0000 0.5000
3 Rh 0.5000 0.5000 0.2416
4 Rh 0.5000 0.5000 0.7584

---

# 6
The following is a PBEsol calculation of crystalline Ca3Si2As4 at its relaxed geometry, from the Alexandria database.

For the total energy, the calculation gives -183.4 eV per cell. The size of the total moment comes out at 0.000 μB per formula unit. The calculation puts the uncorrected formation energy at -0.84 eV/atom.

abc: 7.2204 17.5343 7.0975
angles: 90.00 111.59 90.00
Fractional coordinates of all 36 atoms:
1 Ca 0.2194 0.1839 0.0128
2 Ca 0.2194 0.3161 0.5128
3 Ca 0.2542 0.0601 0.5121
4 Ca 0.2542 0.4399 0.0121
5 Ca 0.2615 0.5602 0.5017
6 Ca 0.2615 0.9398 0.0017
7 Ca 0.7385 0.0602 0.9983
8 Ca 0.7385 0.4398 0.4983
9 Ca 0.7458 0.5601 0.9879
10 Ca 0.7458 0.9399 0.4879
11 Ca 0.7806 0.6839 0.4872
12 Ca 0.7806 0.8161 0.9872
13 Si 0.2112 0.6289 0.0298
14 Si 0.2112 0.8711 0.5298
15 Si 0.3159 0.7407 0.9204
16 Si 0.3159 0.7593 0.4204
17 Si 0.6841 0.2407 0.5796
18 Si 0.6841 0.2593 0.0796
19 Si 0.7888 0.1289 0.4702
20 Si 0.7888 0.3711 0.9702
21 As 0.0062 0.5605 0.7484
22 As 0.0062 0.9395 0.2484
23 As 0.0336 0.6870 0.2218
24 As 0.0336 0.8130 0.7218
25 As 0.4927 0.1960 0.7699
26 As 0.4927 0.3040 0.2699
27 As 0.4989 0.0676 0.2564
28 As 0.4989 0.4324 0.7564
29 As 0.5011 0.5676 0.2436
30 As 0.5011 0.9324 0.7436
31 As 0.5073 0.6960 0.7301
32 As 0.5073 0.8040 0.2301
33 As 0.9664 0.1870 0.2782
34 As 0.9664 0.3130 0.7782
35 As 0.9938 0.0605 0.7516
36 As 0.9938 0.4395 0.2516

---

# 7
The following is a PBEsol calculation of crystalline Nb3CrBi at its relaxed geometry, from the Alexandria database.

For the total energy, the calculation gives -35.7 eV per cell. The size of the total moment comes out at 2.948 μB per formula unit. The calculation puts the density of states at the Fermi level at 1.57 states/eV/atom.

abc: 5.0941 5.0941 5.0941
angles: 90.00 90.00 90.00
Fractional coordinates of all 5 atoms:
1 Nb 0.0000 0.0000 0.5000
2 Nb 0.0000 0.5000 0.0000
3 Nb 0.5000 0.0000 0.0000
4 Cr 0.5000 0.5000 0.5000
5 Bi 0.0000 0.0000 0.0000

---

# 8
The following is a PBEsol calculation of crystalline Ca2SiCl at its relaxed geometry, from the Alexandria database.

For the total energy, the calculation gives -16.2 eV per cell. The size of the total moment comes out at 0.000 μB per formula unit. The calculation puts the density of states at the Fermi level at 0.41 states/eV/atom. The calculation puts the uncorrected formation energy at -1.05 eV/atom.

abc: 7.6103 7.6103 7.6103
angles: 30.58 30.58 30.58
Fractional coordinates of all 4 atoms:
1 Ca 0.2460 0.2460 0.2460
2 Ca 0.7540 0.7540 0.7540
3 Si 0.5000 0.5000 0.5000
4 Cl 0.0000 0.0000 0.0000

---

# 9
The following is a PBEsol calculation of crystalline MgFeSb2 at its relaxed geometry, from the Alexandria database.

For the total energy, the calculation gives -19.7 eV per cell. The size of the total moment comes out at 1.737 μB per formula unit. The calculation puts the density of states at the Fermi level at 0.61 states/eV/atom. The calculation puts the uncorrected formation energy at 0.02 eV/atom.

abc: 7.8604 7.8604 7.8604
angles: 26.21 26.21 26.21
Fractional coordinates of all 4 atoms:
1 Mg 0.0000 0.0000 0.0000
2 Fe 0.5000 0.5000 0.5000
3 Sb 0.2355 0.2355 0.2355
4 Sb 0.7645 0.7645 0.7645

---

# 10
The following is a PBEsol calculation of crystalline SrTlNiP2 at its relaxed geometry, from the Alexandria database.

For the total energy, the calculation gives -14.1 eV per cell. The size of the total moment comes out at 0.969 μB per formula unit. The calculation puts the density of states at the Fermi level at 2.12 states/eV/atom.

abc: 5.3373 5.3373 5.8262
angles: 90.00 90.00 90.00
Fractional coordinates of all 5 atoms:
1 Sr 0.0000 0.0000 0.0000
2 Tl 0.0000 0.0000 0.5000
3 Ni 0.5000 0.5000 0.5000
4 P 0.0000 0.5000 0.0000
5 P 0.5000 0.0000 0.0000

---

# 11
The following is a PBEsol calculation of crystalline Cs2Te5 at its relaxed geometry, from the Alexandria database.

For the total energy, the calculation gives -46.7 eV per cell. The size of the total moment comes out at 0.000 μB per formula unit. The calculation puts the density of states at the Fermi level at 0.00 states/eV/atom. The calculation puts the uncorrected formation energy at -0.55 eV/atom.

abc: 7.5688 7.5688 10.1134
angles: 90.00 90.00 103.54
Fractional coordinates of all 14 atoms:
1 Cs 0.0618 0.9382 0.7500
2 Cs 0.2944 0.7056 0.2500
3 Cs 0.7056 0.2944 0.7500
4 Cs 0.9382 0.0618 0.2500
5 Te 0.1549 0.3828 0.5395
6 Te 0.1549 0.3828 0.9605
7 Te 0.3821 0.6179 0.7500
8 Te 0.3828 0.1549 0.0395
9 Te 0.3828 0.1549 0.4605
10 Te 0.6172 0.8451 0.5395
11 Te 0.6172 0.8451 0.9605
12 Te 0.6179 0.3821 0.2500
13 Te 0.8451 0.6172 0.0395
14 Te 0.8451 0.6172 0.4605

---

# 12
The following is a PBEsol calculation of crystalline SrCaAu2 at its relaxed geometry, from the Alexandria database.

For the total energy, the calculation gives -14.8 eV per cell. The size of the total moment comes out at 0.000 μB per formula unit. The calculation puts the density of states at the Fermi level at 0.60 states/eV/atom.

abc: 4.5670 5.9775 5.9775
angles: 40.28 90.00 90.00
Fractional coordinates of all 4 atoms:
1 Sr 0.0000 0.0000 0.0000
2 Ca 0.5000 0.7201 0.7201
3 Au 0.0000 0.2789 0.2789
4 Au 0.5000 0.4337 0.4337